A relaxed structure of LiTlCu2H, computed with GGA-PBE.

Unit cell a=3.848 b=3.848 c=4.289 alpha=90.00 beta=90.00 gamma=90.00
Positions (direct):
Li 0.000 0.000 0.000
Tl 0.500 0.500 0.000
Cu 0.000 0.500 0.500
Cu 0.500 0.000 0.500
H 0.000 0.000 0.500

Properties
The value obtained for the total energy is -3.0969 eV/atom. Its symmetry is P4/mmm. The total magnetic moment comes out at 0.0 μB/f.u.


A relaxed structure of Li2YCuH, computed with GGA-PBE.

Unit cell a=3.982 b=3.982 c=4.897 alpha=90.00 beta=90.00 gamma=90.00
Positions (direct):
Li 0.000 0.500 0.000
Li 0.500 0.000 0.000
Y 0.000 0.000 0.500
Cu 0.500 0.500 0.500
H 0.000 0.000 0.000

Properties
The value obtained for the total energy is -3.7077 eV/atom. Its symmetry is P4/mmm. The total magnetic moment comes out at 0.0 μB/f.u.


A relaxed structure of Li2ZnCuH, computed with GGA-PBE.

Unit cell a=3.749 b=3.749 c=4.024 alpha=90.00 beta=90.00 gamma=90.00
Positions (direct):
Li 0.000 0.500 0.000
Li 0.500 0.000 0.000
Zn 0.000 0.000 0.500
Cu 0.500 0.500 0.500
H 0.000 0.000 0.000

Properties
The value obtained for the total energy is -2.5842 eV/atom. Its symmetry is P4/mmm. The total magnetic moment comes out at 0.0 μB/f.u.


A relaxed structure of LiZnCu2H, computed with GGA-PBE.

Unit cell a=3.740 b=3.740 c=3.788 alpha=90.00 beta=90.00 gamma=90.00
Positions (direct):
Li 0.000 0.000 0.000
Zn 0.500 0.500 0.000
Cu 0.000 0.500 0.500
Cu 0.500 0.000 0.500
H 0.000 0.000 0.500

Properties
The value obtained for the total energy is -2.9985 eV/atom. Its symmetry is P4/mmm. The total magnetic moment comes out at 0.0 μB/f.u.


A relaxed structure of Li2ZnCuH, computed with GGA-PBE.

Unit cell a=4.038 b=4.038 c=3.480 alpha=90.00 beta=90.00 gamma=90.00
Positions (direct):
Li 0.000 0.500 0.000
Li 0.500 0.000 0.000
Zn 0.000 0.000 0.500
Cu 0.500 0.500 0.500
H 0.500 0.500 0.000

Properties
The value obtained for the total energy is -2.6316 eV/atom. Its symmetry is P4/mmm. The total magnetic moment comes out at 0.0 μB/f.u.


A relaxed structure of Li2ZnCuH6, computed with GGA-PBE.

Unit cell a=5.419 b=5.419 c=5.419 alpha=132.24 beta=132.24 gamma=69.84
Positions (direct):
Li 0.000 0.500 0.500
Li 0.500 0.000 0.500
Zn 0.259 0.259 0.000
Cu 0.767 0.767 0.000
H 0.077 0.077 0.000
H 0.084 0.084 0.486
H 0.084 0.598 0.000
H 0.583 0.583 0.000
H 0.598 0.084 0.000
H 0.598 0.598 0.514

Properties
The value obtained for the total energy is -2.9705 eV/atom. Its symmetry is I4mm. The total magnetic moment comes out at 0.0 μB/f.u.


A relaxed structure of Lu4Cu2H, computed with GGA-PBE.

Unit cell a=7.587 b=7.587 c=7.587 alpha=144.94 beta=144.94 gamma=50.43
Positions (direct):
Lu 0.000 0.500 0.500
Lu 0.188 0.188 0.000
Lu 0.500 0.000 0.500
Lu 0.812 0.812 0.000
Cu 0.382 0.382 0.000
Cu 0.618 0.618 0.000
H 0.000 0.000 0.000

Properties
The value obtained for the total energy is -4.3936 eV/atom. Its symmetry is I4/mmm. The total magnetic moment comes out at 0.0 μB/f.u.


A relaxed structure of Mg2CuH, computed with GGA-PBE.

Unit cell a=4.399 b=4.399 c=4.399 alpha=60.00 beta=60.00 gamma=60.00
Positions (direct):
Mg 0.250 0.250 0.250
Mg 0.750 0.750 0.750
Cu 0.000 0.000 0.000
H 0.500 0.500 0.500

Properties
The value obtained for the total energy is -2.3623 eV/atom. Its symmetry is Fm-3m. The total magnetic moment comes out at 0.0 μB/f.u.